<one>
# CeGd2Pa, optimized geometry, DFT PBE-GGA
# spin magnetization	13.0	Bohr magnetons per cell
# crystal system	tetragonal
data_CeGd2Pa
_chemical_formula_sum 'Ce1 Gd2 Pa1'
_space_group_name_H-M_alt 'P 4/m m m'
_space_group_IT_number 123
_space_group_name_Hall '-P 4 2'
_cell_length_a 4.753
_cell_length_b 4.753
_cell_length_c 5.074
_cell_angle_alpha 90.00
_cell_angle_beta 90.00
_cell_angle_gamma 90.00
loop_
_atom_site_label
_atom_site_type_symbol
_atom_site_fract_x
_atom_site_fract_y
_atom_site_fract_z
Ce1 Ce 0.000 0.000 0.000
Gd1 Gd 0.000 0.500 0.500
Pa1 Pa 0.500 0.500 0.000



<two>
# CeGd2Pa, optimized geometry, DFT PBE-GGA
# spin magnetization	12.7	Bohr magnetons per cell
# crystal system	tetragonal
data_CeGd2Pa
_chemical_formula_sum 'Ce1 Gd2 Pa1'
_space_group_name_H-M_alt 'P 4/m m m'
_space_group_IT_number 123
_space_group_name_Hall '-P 4 2'
_cell_length_a 3.360
_cell_length_b 3.360
_cell_length_c 10.355
_cell_angle_alpha 90.00
_cell_angle_beta 90.00
_cell_angle_gamma 90.00
loop_
_atom_site_label
_atom_site_type_symbol
_atom_site_fract_x
_atom_site_fract_y
_atom_site_fract_z
Ce1 Ce 0.000 0.000 0.000
Gd1 Gd 0.500 0.500 0.268
Pa1 Pa 0.000 0.000 0.500



<two> is favored, and the nearest alternative lies 4.7 kJ/mol of atoms above it.



<one>
# CeGdPb, optimized geometry, DFT PBE-GGA
# spin magnetization	18.9	Bohr magnetons per cell
# crystal system	tetragonal
data_CeGdPb
_chemical_formula_sum 'Ce2 Gd2 Pb2'
_space_group_name_H-M_alt 'I 4 m m'
_space_group_IT_number 107
_space_group_name_Hall 'I 4 -2'
_cell_length_a 3.279
_cell_length_b 3.279
_cell_length_c 17.919
_cell_angle_alpha 90.00
_cell_angle_beta 90.00
_cell_angle_gamma 90.00
loop_
_atom_site_label
_atom_site_type_symbol
_atom_site_fract_x
_atom_site_fract_y
_atom_site_fract_z
Ce1 Ce 0.000 0.000 0.000
Gd1 Gd 0.000 0.000 0.820
Pb1 Pb 0.000 0.000 0.643



<two>
# CeGdPb, optimized geometry, DFT PBE-GGA
# spin magnetization	8.9	Bohr magnetons per cell
# crystal system	hexagonal
data_CeGdPb
_chemical_formula_sum 'Ce1 Gd1 Pb1'
_space_group_name_H-M_alt 'P -6 m 2'
_space_group_IT_number 187
_space_group_name_Hall 'P -6 2'
_cell_length_a 5.4109
_cell_length_b 5.4109
_cell_length_c 3.3613
_cell_angle_alpha 90.00
_cell_angle_beta 90.00
_cell_angle_gamma 120.00
loop_
_atom_site_label
_atom_site_type_symbol
_atom_site_fract_x
_atom_site_fract_y
_atom_site_fract_z
Ce1 Ce 0.0000 0.0000 0.0000
Gd1 Gd 0.6667 0.3333 0.0000
Pb1 Pb 0.3333 0.6667 0.5000



<two> is favored, and the nearest alternative lies 27.5 kJ/mol of atoms above it.



<one>
# CeGdPb2, optimized geometry, DFT PBE-GGA
# spin magnetization	8.9	Bohr magnetons per cell
# crystal system	tetragonal
data_CeGdPb2
_chemical_formula_sum 'Ce1 Gd1 Pb2'
_space_group_name_H-M_alt 'P 4/m m m'
_space_group_IT_number 123
_space_group_name_Hall '-P 4 2'
_cell_length_a 5.075
_cell_length_b 5.075
_cell_length_c 4.544
_cell_angle_alpha 90.00
_cell_angle_beta 90.00
_cell_angle_gamma 90.00
loop_
_atom_site_label
_atom_site_type_symbol
_atom_site_fract_x
_atom_site_fract_y
_atom_site_fract_z
Ce1 Ce 0.000 0.000 0.000
Gd1 Gd 0.500 0.500 0.000
Pb1 Pb 0.000 0.500 0.500



<two>
# CeGdPb2, optimized geometry, DFT PBE-GGA
# spin magnetization	34.8	Bohr magnetons per cell
# crystal system	cubic
data_CeGdPb2
_chemical_formula_sum 'Ce4 Gd4 Pb8'
_space_group_name_H-M_alt 'F m -3 m'
_space_group_IT_number 225
_space_group_name_Hall '-F 4 2 3'
_cell_length_a 7.810
_cell_length_b 7.810
_cell_length_c 7.810
_cell_angle_alpha 90.00
_cell_angle_beta 90.00
_cell_angle_gamma 90.00
loop_
_atom_site_label
_atom_site_type_symbol
_atom_site_fract_x
_atom_site_fract_y
_atom_site_fract_z
Ce1 Ce 0.000 0.000 0.000
Gd1 Gd 0.000 0.000 0.500
Pb1 Pb 0.250 0.250 0.250



<one> is favored, and the nearest alternative lies 6.8 kJ/mol of atoms above it.